[1]
Compound: NiAs2I
Source: Alexandria via LeMat-Bulk
Functional: GGA-PBE
Structure: optimized geometry

abc: 6.333 6.333 10.445
angles: 90.00 90.00 90.00
Space group I-42d (No. 122)
Symmetry-distinct sites (fractional):
Ni 0.000 0.000 0.000 x4
As 0.140 0.250 0.125 x8
I 0.000 0.000 0.500 x4

The value obtained for the energy relative to the lowest polymorph listed for this composition is 0 meV per atom. Its density of states at the Fermi level is 0.83 states/eV/atom. For the raw formation energy, the calculation gives 0.86 eV per formula unit.

***

[2]
Compound: Ho2TeP
Source: Alexandria via LeMat-Bulk
Functional: GGA-PBE
Structure: optimized geometry

abc: 4.0925 4.0925 21.0964
angles: 90.00 90.00 120.00
Space group R-3m (No. 166, hexagonal axes)
Symmetry-distinct sites (fractional):
Ho 0.0000 0.0000 0.2364 x6
Te 0.0000 0.0000 0.0000 x3
P 0.0000 0.0000 0.5000 x3

The value obtained for the energy relative to the lowest polymorph listed for this composition is 0 meV per atom. Its density of states at the Fermi level is 0.34 states/eV/atom. For the raw formation energy, the calculation gives -6.16 eV per formula unit.

***

[3]
Compound: Pm8Si2N3
Source: Alexandria via LeMat-Bulk
Functional: GGA-PBE
Structure: optimized geometry

abc: 14.140 7.312 6.530
angles: 90.00 106.88 90.00
Space group C2/m (No. 12)
Symmetry-distinct sites (fractional):
Pm 0.100 0.238 0.391 x8
Pm 0.101 0.000 0.902 x4
Pm 0.108 0.500 0.941 x4
Si 0.244 0.500 0.678 x4
N 0.000 0.000 0.500 x2
N 0.000 0.245 0.000 x4

Its density of states at the Fermi level is 0.72 states/eV/atom. For the raw formation energy, the calculation gives -9.98 eV per formula unit.

***

[4]
Compound: AsIr3Pb
Source: Alexandria via LeMat-Bulk
Functional: GGA-PBE
Structure: optimized geometry

abc: 4.669 4.669 4.669
angles: 90.00 90.00 90.00
Space group Pm-3m (No. 221)
Symmetry-distinct sites (fractional):
As 0.000 0.000 0.000 x1
Ir 0.000 0.000 0.500 x3
Pb 0.500 0.500 0.500 x1

The value obtained for the energy relative to the lowest polymorph listed for this composition is 0 meV per atom. Its density of states at the Fermi level is 0.61 states/eV/atom. The formation energy from the elements is 0.85 eV per atom.

***

[5]
Compound: CsK6Rb23
Source: Alexandria via LeMat-Bulk
Functional: GGA-PBE
Structure: optimized geometry

abc: 22.160 22.160 22.160
angles: 90.00 90.00 90.00
Space group Fm-3m (No. 225)
Symmetry-distinct sites (fractional):
Cs 0.000 0.000 0.000 x4
K 0.000 0.000 0.247 x24
Rb 0.000 0.000 0.500 x4
Rb 0.000 0.250 0.250 x24
Rb 0.126 0.126 0.374 x32
Rb 0.132 0.132 0.132 x32

Its density of states at the Fermi level is 0.95 states/eV/atom. The formation energy from the elements is 0.03 eV per atom.

***

[6]
Compound: LaScCo2Sn
Source: Alexandria via LeMat-Bulk
Functional: GGA-PBE
Structure: optimized geometry

abc: 4.652 4.652 5.415
angles: 90.00 90.00 90.00
Space group P4/mmm (No. 123)
Symmetry-distinct sites (fractional):
La 0.000 0.000 0.000 x1
Sc 0.500 0.500 0.500 x1
Co 0.000 0.500 0.500 x2
Sn 0.500 0.500 0.000 x1

Its density of states at the Fermi level is 0.89 states/eV/atom. The formation energy from the elements is 0.42 eV per atom.

***

[7]
Compound: ZnSiIr2
Source: Alexandria via LeMat-Bulk
Functional: GGA-PBE
Structure: optimized geometry

abc: 3.8892 3.8892 14.0348
angles: 90.00 90.00 120.00
Space group R3m (No. 160, hexagonal axes)
Symmetry-distinct sites (fractional):
Zn 0.0000 0.0000 0.0000 x3
Si 0.0000 0.0000 0.1791 x3
Ir 0.0000 0.0000 0.5727 x3
Ir 0.0000 0.0000 0.7703 x3

Its density of states at the Fermi level is 0.88 states/eV/atom. For the raw formation energy, the calculation gives -0.93 eV per formula unit.

***

[8]
Compound: DyHo12Th7
Source: Alexandria via LeMat-Bulk
Functional: GGA-PBE
Structure: optimized geometry

abc: 11.9095 11.9095 15.9221
angles: 90.00 90.00 120.00
Space group R-3 (No. 148, hexagonal axes)
Symmetry-distinct sites (fractional):
Dy 0.0000 0.0000 0.0000 x3
Ho 0.0237 0.5793 0.7205 x18
Ho 0.0499 0.4626 0.0839 x18
Th 0.0000 0.0000 0.5000 x3
Th 0.0557 0.8715 0.7905 x18

The value obtained for the energy relative to the lowest polymorph listed for this composition is 0 meV per atom. Its density of states at the Fermi level is 1.74 states/eV/atom. The formation energy from the elements is 0.27 eV per atom.

***

[9]
Compound: KLaH8Pt2
Source: Alexandria via LeMat-Bulk
Functional: GGA-PBE
Structure: optimized geometry

abc: 4.3484 4.3484 27.9685
angles: 90.00 90.00 120.00
Space group R-3m (No. 166, hexagonal axes)
Symmetry-distinct sites (fractional):
K 0.0000 0.0000 0.0000 x3
La 0.0000 0.0000 0.5000 x3
H 0.0000 0.0000 0.1773 x6
H 0.0323 0.5161 0.0622 x18
Pt 0.0000 0.0000 0.2392 x6

Its density of states at the Fermi level is 0.40 states/eV/atom. The energy comes out at -139.38 eV/cell.

***

[10]
Compound: PmPaTcRu
Source: Alexandria via LeMat-Bulk
Functional: GGA-PBE
Structure: optimized geometry

abc: 6.934 6.934 6.934
angles: 90.00 90.00 90.00
Space group F-43m (No. 216)
Symmetry-distinct sites (fractional):
Pm 0.000 0.000 0.000 x4
Pa 0.000 0.000 0.500 x4
Tc 0.250 0.250 0.250 x4
Ru 0.250 0.250 0.750 x4

Its density of states at the Fermi level is 1.02 states/eV/atom. The formation energy from the elements is -0.13 eV per atom.

***

[11]
Compound: ScCdNiIr
Source: Alexandria via LeMat-Bulk
Functional: GGA-PBE
Structure: optimized geometry

abc: 6.396 6.396 6.396
angles: 90.00 90.00 90.00
Space group F-43m (No. 216)
Symmetry-distinct sites (fractional):
Sc 0.000 0.000 0.000 x4
Cd 0.000 0.000 0.500 x4
Ni 0.250 0.250 0.750 x4
Ir 0.250 0.250 0.250 x4

Its density of states at the Fermi level is 0.37 states/eV/atom. The formation energy from the elements is -0.36 eV per atom.

***

[12]
Compound: MgMn2Tc
Source: Alexandria via LeMat-Bulk
Functional: GGA-PBE
Structure: optimized geometry

abc: 8.880 2.651 5.060
angles: 90.00 94.23 90.00
Space group C2/m (No. 12)
Symmetry-distinct sites (fractional):
Mg 0.000 0.000 0.000 x2
Mn 0.250 0.000 0.727 x4
Tc 0.000 0.500 0.500 x2

Its density of states at the Fermi level is 1.01 states/eV/atom. The formation energy from the elements is 0.33 eV per atom.